# 1
A relaxed structure of La4Tb3CeAs8. Source: the Alexandria database, functional PBE.

The structure in POSCAR format:
```
La4Tb3CeAs8
1.0
4.266 2.463 6.976
-4.266 2.463 6.976
0.000 -4.926 6.976
La Tb Ce As
4 3 1 8
Direct
0.000 0.000 0.000
0.000 0.500 0.500
0.500 0.000 0.500
0.500 0.500 0.000
0.000 0.000 0.500
0.000 0.500 0.000
0.500 0.000 0.000
0.500 0.500 0.500
0.245 0.746 0.746
0.246 0.246 0.246
0.254 0.254 0.755
0.254 0.755 0.254
0.746 0.245 0.746
0.746 0.746 0.245
0.754 0.754 0.754
0.755 0.254 0.254
```

Crystal system = trigonal

=====

# 2
A relaxed structure of La4TbCe3As8. Source: the Alexandria database, functional PBE.

The structure in POSCAR format:
```
La4TbCe3As8
1.0
4.283 2.473 7.013
-4.283 2.473 7.013
0.000 -4.946 7.013
La Tb Ce As
4 1 3 8
Direct
0.000 0.000 0.000
0.000 0.500 0.500
0.500 0.000 0.500
0.500 0.500 0.000
0.500 0.500 0.500
0.000 0.000 0.500
0.000 0.500 0.000
0.500 0.000 0.000
0.247 0.247 0.247
0.247 0.746 0.746
0.254 0.254 0.753
0.254 0.753 0.254
0.746 0.247 0.746
0.746 0.746 0.247
0.753 0.254 0.254
0.753 0.753 0.753
```

Crystal system = trigonal

=====

# 3
A relaxed structure of LaTb2Ce3As6. Source: the Alexandria database, functional PBE.

The structure in POSCAR format:
```
LaTb2Ce3As6
1.0
3.655 -6.330 0.000
3.655 6.330 0.000
-2.440 0.000 6.884
La Tb Ce As
1 2 3 6
Direct
0.000 0.000 0.000
0.333 0.667 0.000
0.667 0.333 0.000
0.165 0.835 0.500
0.500 0.500 0.500
0.835 0.165 0.500
0.084 0.424 0.252
0.257 0.257 0.750
0.424 0.084 0.252
0.576 0.916 0.748
0.743 0.743 0.250
0.916 0.576 0.748
```

Crystal system = monoclinic

=====

# 4
A relaxed structure of La3TbCe2As6. Source: the Alexandria database, functional PBE.

The structure in POSCAR format:
```
La3TbCe2As6
1.0
3.706 -6.419 0.000
3.706 6.419 0.000
-2.471 0.000 7.008
La Tb Ce As
3 1 2 6
Direct
0.000 0.000 0.000
0.333 0.667 0.000
0.667 0.333 0.000
0.500 0.500 0.500
0.167 0.833 0.500
0.833 0.167 0.500
0.088 0.421 0.262
0.247 0.247 0.739
0.421 0.088 0.262
0.579 0.912 0.738
0.753 0.753 0.261
0.912 0.579 0.738
```

Crystal system = monoclinic

=====

# 5
A relaxed structure of LaTb2CeAs4. Source: the Alexandria database, functional PBE.

The structure in POSCAR format:
```
LaTb2CeAs4
1.0
7.296 0.000 0.000
0.000 4.220 0.000
-2.438 0.000 6.897
La Tb Ce As
1 2 1 4
Direct
0.000 0.000 0.000
0.500 0.000 0.500
0.500 0.500 0.000
0.000 0.500 0.500
0.256 0.000 0.748
0.259 0.500 0.258
0.741 0.500 0.742
0.744 0.000 0.252
```

Crystal system = monoclinic

=====

# 6
A relaxed structure of LaCeTh2As4. Source: the Alexandria database, functional PBE.

The structure in POSCAR format:
```
LaCeTh2As4
1.0
7.408 0.000 0.000
0.000 4.276 0.000
-2.468 0.000 6.990
La Ce Th As
1 1 2 4
Direct
0.000 0.000 0.000
0.500 0.500 0.000
0.000 0.500 0.500
0.500 0.000 0.500
0.253 0.000 0.748
0.255 0.500 0.255
0.745 0.500 0.745
0.747 0.000 0.252
```

Crystal system = monoclinic

=====

# 7
A relaxed structure of LaCe2Th3As6. Source: the Alexandria database, functional PBE.

The structure in POSCAR format:
```
LaCe2Th3As6
1.0
3.694 -6.396 0.000
3.694 6.396 0.000
-2.462 0.000 6.966
La Ce Th As
1 2 3 6
Direct
0.000 0.000 0.000
0.333 0.667 0.000
0.667 0.333 0.000
0.165 0.835 0.500
0.500 0.500 0.500
0.835 0.165 0.500
0.084 0.422 0.252
0.255 0.255 0.750
0.422 0.084 0.252
0.578 0.916 0.748
0.745 0.745 0.250
0.916 0.578 0.748
```

Crystal system = monoclinic

=====

# 8
A relaxed structure of La3Ce2ThAs6. Source: the Alexandria database, functional PBE.

The structure in POSCAR format:
```
La3Ce2ThAs6
1.0
3.723 -6.451 0.000
3.723 6.451 0.000
-2.483 0.000 7.042
La Ce Th As
3 2 1 6
Direct
0.000 0.000 0.000
0.333 0.667 0.000
0.667 0.333 0.000
0.167 0.833 0.500
0.833 0.167 0.500
0.500 0.500 0.500
0.086 0.420 0.260
0.247 0.247 0.740
0.420 0.086 0.260
0.580 0.914 0.740
0.753 0.753 0.260
0.914 0.580 0.740
```

Crystal system = monoclinic

=====

# 9
A relaxed structure of La3CeTh2As6. Source: the Alexandria database, functional PBE.

The structure in POSCAR format:
```
La3CeTh2As6
1.0
3.728 -6.459 0.000
3.728 6.459 0.000
-2.484 0.000 7.047
La Ce Th As
3 1 2 6
Direct
0.000 0.000 0.000
0.334 0.666 0.000
0.666 0.334 0.000
0.500 0.500 0.500
0.167 0.833 0.500
0.833 0.167 0.500
0.086 0.420 0.259
0.247 0.247 0.741
0.420 0.086 0.259
0.580 0.914 0.741
0.753 0.753 0.259
0.914 0.580 0.741
```

Crystal system = monoclinic

=====

# 10
A relaxed structure of La2CeThAs4. Source: the Alexandria database, functional PBE.

The structure in POSCAR format:
```
La2CeThAs4
1.0
7.452 0.000 0.000
0.000 4.305 0.000
-2.486 0.000 7.045
La Ce Th As
2 1 1 4
Direct
0.000 0.000 0.000
0.500 0.500 0.000
0.000 0.500 0.500
0.500 0.000 0.500
0.247 0.000 0.741
0.253 0.500 0.259
0.747 0.500 0.741
0.753 0.000 0.259
```

Crystal system = monoclinic

=====

# 11
A relaxed structure of LaCe4Th3As8. Source: the Alexandria database, functional PBE.

The structure in POSCAR format:
```
LaCe4Th3As8
1.0
4.254 2.456 6.951
-4.254 2.456 6.951
0.000 -4.912 6.951
La Ce Th As
1 4 3 8
Direct
0.000 0.000 0.000
0.000 0.000 0.500
0.000 0.500 0.000
0.500 0.000 0.000
0.500 0.500 0.500
0.000 0.500 0.500
0.500 0.000 0.500
0.500 0.500 0.000
0.250 0.250 0.250
0.253 0.253 0.747
0.253 0.747 0.253
0.253 0.747 0.747
0.747 0.253 0.253
0.747 0.253 0.747
0.747 0.747 0.253
0.750 0.750 0.750
```

Crystal system = trigonal

=====

# 12
A relaxed structure of La3CeTm2As6. Source: the Alexandria database, functional PBE.

The structure in POSCAR format:
```
La3CeTm2As6
1.0
3.674 -6.363 0.000
3.674 6.363 0.000
-2.450 0.000 6.944
La Ce Tm As
3 1 2 6
Direct
0.000 0.000 0.000
0.334 0.666 0.000
0.666 0.334 0.000
0.500 0.500 0.500
0.167 0.833 0.500
0.833 0.167 0.500
0.086 0.422 0.265
0.242 0.242 0.734
0.422 0.086 0.265
0.578 0.914 0.735
0.758 0.758 0.266
0.914 0.578 0.735
```

Crystal system = monoclinic

=====

# 13
A relaxed structure of La2CeTmAs4. Source: the Alexandria database, functional PBE.

The structure in POSCAR format:
```
La2CeTmAs4
1.0
7.360 0.000 0.000
0.000 4.260 0.000
-2.457 0.000 6.965
La Ce Tm As
2 1 1 4
Direct
0.000 0.000 0.000
0.500 0.500 0.000
0.000 0.500 0.500
0.500 0.000 0.500
0.249 0.000 0.737
0.258 0.500 0.265
0.742 0.500 0.735
0.751 0.000 0.263
```

Crystal system = monoclinic

=====

# 14
A relaxed structure of LaCe2Tm3As6. Source: the Alexandria database, functional PBE.

The structure in POSCAR format:
```
LaCe2Tm3As6
1.0
3.615 -6.261 0.000
3.615 6.261 0.000
-2.410 0.000 6.783
La Ce Tm As
1 2 3 6
Direct
0.000 0.000 0.000
0.333 0.667 0.000
0.667 0.333 0.000
0.165 0.835 0.500
0.500 0.500 0.500
0.835 0.165 0.500
0.087 0.426 0.261
0.252 0.252 0.739
0.426 0.087 0.261
0.574 0.913 0.739
0.748 0.748 0.261
0.913 0.574 0.739
```

Crystal system = monoclinic

=====

# 15
A relaxed structure of LaCeTm2As4. Source: the Alexandria database, functional PBE.

The structure in POSCAR format:
```
LaCeTm2As4
1.0
7.222 0.000 0.000
0.000 4.187 0.000
-2.422 0.000 6.841
La Ce Tm As
1 1 2 4
Direct
0.000 0.000 0.000
0.000 0.500 0.500
0.500 0.000 0.500
0.500 0.500 0.000
0.261 0.000 0.749
0.264 0.500 0.259
0.736 0.500 0.741
0.739 0.000 0.251
```

Crystal system = monoclinic

=====

# 16
A relaxed structure of La3Ce2TmAs6. Source: the Alexandria database, functional PBE.

The structure in POSCAR format:
```
La3Ce2TmAs6
1.0
3.695 -6.400 0.000
3.695 6.400 0.000
-2.465 0.000 6.991
La Ce Tm As
3 2 1 6
Direct
0.000 0.000 0.000
0.333 0.667 0.000
0.667 0.333 0.000
0.166 0.834 0.500
0.834 0.166 0.500
0.500 0.500 0.500
0.091 0.421 0.264
0.249 0.249 0.738
0.421 0.091 0.264
0.579 0.909 0.736
0.751 0.751 0.262
0.909 0.579 0.736
```

Crystal system = monoclinic

=====

# 17
A relaxed structure of La4CeTm3As8. Source: the Alexandria database, functional PBE.

The structure in POSCAR format:
```
La4CeTm3As8
1.0
4.239 2.448 6.927
-4.239 2.448 6.927
0.000 -4.895 6.927
La Ce Tm As
4 1 3 8
Direct
0.000 0.000 0.000
0.000 0.500 0.500
0.500 0.000 0.500
0.500 0.500 0.000
0.500 0.500 0.500
0.000 0.000 0.500
0.000 0.500 0.000
0.500 0.000 0.000
0.242 0.746 0.746
0.244 0.244 0.244
0.254 0.254 0.758
0.254 0.758 0.254
0.746 0.242 0.746
0.746 0.746 0.242
0.756 0.756 0.756
0.758 0.254 0.254
```

Crystal system = trigonal

=====

# 18
A relaxed structure of La2CeUAs4. Source: the Alexandria database, functional PBE.

The structure in POSCAR format:
```
La2CeUAs4
1.0
7.358 0.000 0.000
0.000 4.240 0.000
-2.445 0.000 7.013
La Ce U As
2 1 1 4
Direct
0.000 0.000 0.000
0.500 0.500 0.000
0.000 0.500 0.500
0.500 0.000 0.500
0.251 0.000 0.736
0.261 0.500 0.267
0.739 0.500 0.733
0.749 0.000 0.264
```

Crystal system = monoclinic

=====

# 19
A relaxed structure of La3Ce2UAs6. Source: the Alexandria database, functional PBE.

The structure in POSCAR format:
```
La3Ce2UAs6
1.0
9.330 -2.129 0.000
9.330 2.129 0.000
-2.032 0.000 8.335
La Ce U As
3 2 1 6
Direct
0.000 0.000 0.000
0.332 0.332 0.667
0.668 0.668 0.333
0.334 0.334 0.167
0.666 0.666 0.833
0.000 0.000 0.500
0.161 0.161 0.587
0.169 0.169 0.077
0.499 0.499 0.263
0.501 0.501 0.737
0.831 0.831 0.923
0.839 0.839 0.413
```

Crystal system = monoclinic

=====

# 20
A relaxed structure of LaCe2YAs4. Source: the Alexandria database, functional PBE.

The structure in POSCAR format:
```
LaCe2YAs4
1.0
7.334 0.000 0.000
0.000 4.237 0.000
-2.444 0.000 6.921
La Ce Y As
1 2 1 4
Direct
0.000 0.000 0.000
0.500 0.000 0.500
0.500 0.500 0.000
0.000 0.500 0.500
0.251 0.000 0.744
0.256 0.500 0.259
0.744 0.500 0.741
0.749 0.000 0.256
```

Crystal system = monoclinic

=====

So what do the calculations give for DFT formation energy? Going down the list: -1539 -1512 -1483 -1517 -1516 -1463 -1451 -1510 -1513 -1512 -1447 -1516 -1509 -1482 -1491 -1505 -1517 -1309 -1371 -1487 meV/atom.